(1)
VASP calculation (PBE-GGA) on a relaxed TmScAl2Pd2 crystal.

Output
**Size of the total moment**: 0.0 μB per cell
**Calculated density**: 7.1 g/cm3
**DFT formation energy**: -824 meV/atom
**Crystal system**: trigonal
**Space group**: P-3m1, No. 164

Lattice parameters (Å, degrees): 4.4849 4.4849 6.4422 90.00 90.00 120.00
Last column: nearest neighbours and their distance in Å.
Positions (direct):
1 Tm 0.0000 0.0000 0.0000  6 Pd 3.13, 6 Al 3.17, 2 Sc 3.22
2 Sc 0.0000 0.0000 0.5000  6 Al 2.94, 6 Pd 2.97, 2 Tm 3.22
3 Al 0.3333 0.6667 0.7172  4 Pd 2.59-2.86
4 Al 0.6667 0.3333 0.2828  4 Pd 2.59-2.86
5 Pd 0.3333 0.6667 0.2727  4 Al 2.59-2.86
6 Pd 0.6667 0.3333 0.7273  4 Al 2.59-2.86

=====

(2)
VASP calculation (PBE-GGA) on a relaxed HgOs2Se crystal.

Output
**Size of the total moment**: 0.0 μB per cell
**Calculated density**: 14.6 g/cm3
**Crystal system**: monoclinic
**ΔE_f (raw)**: 690 meV per atom
**Space group**: Cm, No. 8

Lattice parameters (Å, degrees): 5.3669 5.3669 5.8317 60.54 60.54 31.31
Last column: nearest neighbours and their distance in Å.
Positions (direct):
1 Hg 0.2770 0.2770 0.2557  2 Hg 2.90, 5 Os 2.94-2.97, 3 Se 3.13-3.24
2 Os 0.0383 0.0383 0.8213  2 Se 2.56, 2 Os 2.58
3 Os 0.7336 0.7336 0.8584  2 Se 2.48, 2 Os 2.58
4 Se 0.4510 0.4510 0.5646  4 Os 2.48-2.56

=====

Which value of calculated density does entry 2 give? 14.6 g/cm3